Record 1
Entry from Alexandria via LeMat-Bulk: a geometry-optimized TiFe4Ni structure (PBE-GGA).

Summary:
* M_tot: 6.8 μB/cell
* ρ: 7.56 g cm⁻³
* energy relative to the elements: -0.081 eV per atom

Lattice parameters (Å, degrees): 4.6798 4.6798 4.6798 60.00 60.00 60.00
Atoms (fractional coordinates):
1 Ti 0.0000 0.0000 0.0000
2 Fe 0.1254 0.6249 0.6249
3 Fe 0.6249 0.1254 0.6249
4 Fe 0.6249 0.6249 0.1254
5 Fe 0.6249 0.6249 0.6249
6 Ni 0.2500 0.2500 0.2500



Record 2
Entry from Alexandria via LeMat-Bulk: a geometry-optimized Ce3Nd structure (PBE-GGA).

Summary:
* M_tot: 0.0 μB/cell
* offset from the most stable computed form: 0.06 eV/f.u.
* ρ: 8.23 g cm⁻³
* energy relative to the elements: 0.124 eV per atom

Lattice parameters (Å, degrees): 3.3229 5.4663 6.2754 90.00 90.00 90.00
Atoms (fractional coordinates):
1 Ce 0.0000 0.0000 0.0000
2 Ce 0.0000 0.5000 0.1998
3 Ce 0.5000 0.5000 0.7440
4 Nd 0.5000 0.0000 0.4956



Record 3
Entry from Alexandria via LeMat-Bulk: a geometry-optimized SbIrBr2 structure (PBE-GGA).

Summary:
* ΔE_f (raw): 0.99 eV per atom
* M_tot: 0.0 μB/cell
* offset from the most stable computed form: 5.13 eV/f.u.
* ρ: 9.03 g cm⁻³

Lattice parameters (Å, degrees): 5.2886 5.2886 3.2247 90.00 90.00 104.94
Atoms (fractional coordinates):
1 Sb 0.0000 0.0000 0.0000
2 Ir 0.5000 0.5000 0.0000
3 Br 0.0000 0.5000 0.5000
4 Br 0.5000 0.0000 0.5000



Record 4
Entry from Alexandria via LeMat-Bulk: a geometry-optimized Ac4Al3Zn structure (PBE-GGA).

Summary:
* M_tot: 0.0 μB/cell
* ρ: 6.87 g cm⁻³
* energy relative to the elements: -0.264 eV per atom

Lattice parameters (Å, degrees): 4.4418 4.8314 11.8733 90.00 90.00 90.00
Atoms (fractional coordinates):
1 Ac 0.0000 0.0000 0.0000
2 Ac 0.0000 0.5000 0.4950
3 Ac 0.5000 0.0000 0.7086
4 Ac 0.5000 0.5000 0.2108
5 Al 0.0000 0.5000 0.7895
6 Al 0.5000 0.0000 0.4138
7 Al 0.5000 0.5000 0.9182
8 Zn 0.0000 0.0000 0.2919



Record 5
Entry from Alexandria via LeMat-Bulk: a geometry-optimized Na5Ag2Hg5 structure (PBE-GGA).

Summary:
* M_tot: 0.0 μB/cell
* ρ: 7.37 g cm⁻³
* energy relative to the elements: -0.168 eV per atom

Lattice parameters (Å, degrees): 5.0679 5.0679 13.8365 100.36 100.36 59.81
Atoms (fractional coordinates):
1 Na 0.0000 0.0000 0.0000
2 Na 0.1995 0.1995 0.5943
3 Na 0.2792 0.2792 0.8318
4 Na 0.7208 0.7208 0.1682
5 Na 0.8005 0.8005 0.4057
6 Ag 0.4260 0.4260 0.2895
7 Ag 0.5740 0.5740 0.7105
8 Hg 0.0902 0.0902 0.2785
9 Hg 0.3558 0.3558 0.0713
10 Hg 0.5000 0.5000 0.5000
11 Hg 0.6442 0.6442 0.9287
12 Hg 0.9098 0.9098 0.7215



Record 6
Entry from Alexandria via LeMat-Bulk: a geometry-optimized Sm8RuRh2 structure (PBE-GGA).

Summary:
* M_tot: 0.0 μB/cell
* offset from the most stable computed form: 0.54 eV/f.u.
* ρ: 8.09 g cm⁻³
* energy relative to the elements: -0.290 eV per atom

Lattice parameters (Å, degrees): 7.6631 7.6631 6.1844 101.00 101.00 114.31
Atoms (fractional coordinates):
1 Sm 0.0000 0.0000 0.0000
2 Sm 0.0156 0.2722 0.5671
3 Sm 0.1428 0.5597 0.1776
4 Sm 0.2722 0.0156 0.5671
5 Sm 0.4376 0.6950 0.7712
6 Sm 0.5597 0.1428 0.1776
7 Sm 0.6950 0.4376 0.7712
8 Sm 0.7104 0.7104 0.3607
9 Ru 0.3564 0.3564 0.3176
10 Rh 0.0495 0.6673 0.6782
11 Rh 0.6673 0.0495 0.6782



Record 7
Entry from Alexandria via LeMat-Bulk: a geometry-optimized CeHoP2 structure (PBE-GGA).

Summary:
* M_tot: 0.8 μB/cell
* offset from the most stable computed form: 0.22 eV/f.u.
* ρ: 6.59 g cm⁻³
* energy relative to the elements: -1.504 eV per atom

Lattice parameters (Å, degrees): 4.0264 4.0264 13.1696 90.00 90.00 120.00
Atoms (fractional coordinates):
1 Ce 0.0000 0.0000 0.0000
2 Ce 0.0000 0.0000 0.5000
3 Ho 0.3333 0.6667 0.2500
4 Ho 0.6667 0.3333 0.7500
5 P 0.3333 0.6667 0.6252
6 P 0.3333 0.6667 0.8748
7 P 0.6667 0.3333 0.1252
8 P 0.6667 0.3333 0.3748



Record 8
Entry from Alexandria via LeMat-Bulk: a geometry-optimized Pr5Er4Tm structure (PBE-GGA).

Summary:
* M_tot: 0.0 μB/cell
* offset from the most stable computed form: 0.00 eV/f.u.
* ρ: 7.73 g cm⁻³
* energy relative to the elements: 0.022 eV per atom

Lattice parameters (Å, degrees): 3.6124 9.5175 10.2226 74.13 89.95 79.12
Atoms (fractional coordinates):
1 Pr 0.0000 0.0000 0.0000
2 Pr 0.2001 0.5995 0.1009
3 Pr 0.4012 0.1990 0.6930
4 Pr 0.5988 0.8010 0.3070
5 Pr 0.7999 0.4005 0.8991
6 Er 0.1989 0.6015 0.5997
7 Er 0.3994 0.2013 0.2061
8 Er 0.6006 0.7987 0.7939
9 Er 0.8011 0.3985 0.4003
10 Tm 0.0000 0.0000 0.5000



Record 9
Entry from Alexandria via LeMat-Bulk: a geometry-optimized BaY2InH structure (PBE-GGA).

Summary:
* M_tot: 0.0 μB/cell
* total energy: -2.601 eV/atom
* ρ: 3.37 g cm⁻³

Lattice parameters (Å, degrees): 5.9538 5.9538 5.9899 90.00 90.00 90.00
Atoms (fractional coordinates):
1 Ba 0.0000 0.0000 0.0000
2 Y 0.0000 0.5000 0.0000
3 Y 0.5000 0.0000 0.0000
4 In 0.0000 0.0000 0.5000
5 H 0.5000 0.5000 0.5000



Record 10
Entry from Alexandria via LeMat-Bulk: a geometry-optimized NaMg14Ti structure (PBE-GGA).

Summary:
* M_tot: 0.0 μB/cell
* offset from the most stable computed form: 0.00 eV/f.u.
* ρ: 1.87 g cm⁻³
* energy relative to the elements: 0.064 eV per atom

Lattice parameters (Å, degrees): 6.4250 6.4250 10.2183 90.00 90.00 120.00
Atoms (fractional coordinates):
1 Na 0.0000 0.0000 0.0000
2 Mg 0.0014 0.5007 0.5000
3 Mg 0.0037 0.5019 0.0000
4 Mg 0.1638 0.3276 0.2599
5 Mg 0.1638 0.3276 0.7401
6 Mg 0.1638 0.8362 0.2599
7 Mg 0.1638 0.8362 0.7401
8 Mg 0.4981 0.5019 0.0000
9 Mg 0.4981 0.9963 0.0000
10 Mg 0.4993 0.5007 0.5000
11 Mg 0.4993 0.9986 0.5000
12 Mg 0.6667 0.3333 0.2508
13 Mg 0.6667 0.3333 0.7492
14 Mg 0.6724 0.8362 0.2599
15 Mg 0.6724 0.8362 0.7401
16 Ti 0.0000 0.0000 0.5000



Record 11
Entry from Alexandria via LeMat-Bulk: a geometry-optimized Ce3Nb2P2N4 structure (PBE-GGA).

Summary:
* ΔE_f (raw): -1.25 eV per atom
* M_tot: 1.3 μB/cell
* ρ: 6.68 g cm⁻³

Lattice parameters (Å, degrees): 11.0069 11.0069 11.0069 158.44 158.44 30.67
Atoms (fractional coordinates):
1 Ce 0.0000 0.0000 0.0000
2 Ce 0.1651 0.1651 0.0000
3 Ce 0.8349 0.8349 0.0000
4 Nb 0.4147 0.4147 0.0000
5 Nb 0.5853 0.5853 0.0000
6 P 0.2992 0.2992 0.0000
7 P 0.7008 0.7008 0.0000
8 N 0.0748 0.5748 0.5000
9 N 0.4252 0.9252 0.5000
10 N 0.5748 0.0748 0.5000
11 N 0.9252 0.4252 0.5000



Record 12
Entry from Alexandria via LeMat-Bulk: a geometry-optimized AgRu2I structure (PBE-GGA).

Summary:
* ΔE_f (raw): 1.14 eV per atom
* M_tot: 0.0 μB/cell
* offset from the most stable computed form: 0.94 eV/f.u.
* ρ: 9.60 g cm⁻³

Lattice parameters (Å, degrees): 5.9053 5.9053 5.9053 102.88 102.88 123.66
Atoms (fractional coordinates):
1 Ag 0.0000 0.0000 0.0000
2 Ag 0.7500 0.2500 0.5000
3 Ru 0.1611 0.6250 0.0361
4 Ru 0.3750 0.4111 0.5361
5 Ru 0.5889 0.1250 0.9639
6 Ru 0.8750 0.8389 0.4639
7 I 0.2500 0.7500 0.5000
8 I 0.5000 0.5000 0.0000